Entry from Alexandria via LeMat-Bulk: crystalline KCrBF6 at its relaxed geometry (PBE with a Hubbard U).

## Properties
DOS(E_F) = 0.00 states/eV/cell
crystal system = triclinic
total DFT energy (no corrections) = -5.683 eV per atom
M_tot = 4.0 μB/f.u.
SG = No. 1
V = 162 Å³/cell

```
9
Lattice="4.443 0.000 0.000 -1.829 5.643 0.000 -0.077 -2.834 6.446" Properties=species:S:1:pos:R:3 pbc="T T T"
K 0.000 0.000 0.000
Cr -0.294 3.457 3.181
B 1.784 0.901 2.965
F -1.214 3.664 1.503
F 1.146 -0.145 3.723
F 0.751 1.727 2.408
F 0.366 3.221 4.997
F 2.512 0.318 1.930
F 2.600 1.662 3.819
```